(1)
Compound: CsSnCl
Source: Alexandria
Functional: PBE
Structure: optimized geometry

Cell lengths 4.6018, 4.6018, 12.6035 Å; angles 90.00, 90.00, 90.00 degrees
Closest atoms and distances in Å follow each position.
Fractional coordinates of all 6 atoms:
1 Cs 0.2500 0.2500 0.1460  5 Cl 3.26-3.57
2 Cs 0.7500 0.7500 0.8540  5 Cl 3.26-3.57
3 Sn 0.2500 0.7500 0.5000  4 Sn 3.25
4 Sn 0.7500 0.2500 0.5000  4 Sn 3.25
5 Cl 0.2500 0.2500 0.8627  5 Cs 3.26-3.57
6 Cl 0.7500 0.7500 0.1373  5 Cs 3.26-3.57

Calculated values
space-group type	P4/nmm
calculated total energy	-3.217	eV/atom
ΔE_f (raw)	-983	meV/atom

(2)
Compound: Cs3Sr2SnCl9
Source: Alexandria
Functional: PBE
Structure: optimized geometry

Cell lengths 8.0696, 8.0696, 9.8812 Å; angles 90.00, 90.00, 120.00 degrees
Closest atoms and distances in Å follow each position.
Fractional coordinates of all 15 atoms:
1 Cs 0.0000 0.0000 0.0000  12 Cl 4.03-4.05
2 Cs 0.3333 0.6667 0.6612  12 Cl 3.98-4.08
3 Cs 0.6667 0.3333 0.3388  12 Cl 3.98-4.08
4 Sr 0.3333 0.6667 0.1670  6 Cl 2.85-2.87
5 Sr 0.6667 0.3333 0.8330  6 Cl 2.85-2.87
6 Sn 0.0000 0.0000 0.5000  6 Cl 2.83
7 Cl 0.0000 0.5000 0.0000  2 Sr 2.85
8 Cl 0.1660 0.3319 0.3354  1 Sn 2.83, 1 Sr 2.87
9 Cl 0.1660 0.8340 0.3354  1 Sn 2.83, 1 Sr 2.87
10 Cl 0.3319 0.1660 0.6646  1 Sn 2.83, 1 Sr 2.87
11 Cl 0.5000 0.0000 0.0000  2 Sr 2.85
12 Cl 0.5000 0.5000 0.0000  2 Sr 2.85
13 Cl 0.6681 0.8340 0.3354  1 Sn 2.83, 1 Sr 2.87
14 Cl 0.8340 0.1660 0.6646  1 Sn 2.83, 1 Sr 2.87
15 Cl 0.8340 0.6681 0.6646  1 Sn 2.83, 1 Sr 2.87

Calculated values
space-group type	P-3m1
calculated total energy	-3.773	eV/atom
ΔE_f (raw)	-2003	meV/atom

(3)
Compound: Cs2TbSnCl6
Source: Alexandria
Functional: PBE
Structure: optimized geometry

Cell lengths 7.5201, 10.9059, 9.0986 Å; angles 90.00, 90.00, 90.00 degrees
Closest atoms and distances in Å follow each position.
Fractional coordinates of all 20 atoms:
1 Cs 0.2500 0.0027 0.2073  9 Cl 3.73-3.90
2 Cs 0.2500 0.4973 0.2073  9 Cl 3.73-3.90
3 Cs 0.7500 0.5027 0.7927  9 Cl 3.73-3.90
4 Cs 0.7500 0.9973 0.7927  9 Cl 3.73-3.90
5 Tb 0.2500 0.7500 0.7709  6 Cl 2.63-2.68
6 Tb 0.7500 0.2500 0.2291  6 Cl 2.63-2.68
7 Sn 0.2500 0.2500 0.7208  2 Cl 2.84
8 Sn 0.7500 0.7500 0.2792  2 Cl 2.84
9 Cl 0.0041 0.7500 0.9833  1 Tb 2.68
10 Cl 0.0073 0.2500 0.4243  1 Tb 2.63
11 Cl 0.2500 0.5047 0.7859  1 Tb 2.68, 1 Sn 2.84
12 Cl 0.2500 0.9953 0.7859  1 Tb 2.68, 1 Sn 2.84
13 Cl 0.4927 0.2500 0.4243  1 Tb 2.63
14 Cl 0.4959 0.7500 0.9833  1 Tb 2.68
15 Cl 0.5041 0.2500 0.0167  1 Tb 2.68
16 Cl 0.5073 0.7500 0.5757  1 Tb 2.63
17 Cl 0.7500 0.0047 0.2141  1 Tb 2.68, 1 Sn 2.84
18 Cl 0.7500 0.4953 0.2141  1 Tb 2.68, 1 Sn 2.84
19 Cl 0.9927 0.7500 0.5757  1 Tb 2.63
20 Cl 0.9959 0.2500 0.0167  1 Tb 2.68

Calculated values
space-group type	Pmmn
calculated total energy	-3.890	eV/atom
ΔE_f (raw)	-1748	meV/atom

(4)
Compound: CsTiSn2Cl8
Source: Alexandria
Functional: PBE
Structure: optimized geometry

Cell lengths 6.4737, 7.0128, 9.4220 Å; angles 77.58, 83.72, 86.11 degrees
Closest atoms and distances in Å follow each position.
Fractional coordinates of all 12 atoms:
1 Cs 0.0000 0.0000 0.0000  6 Cl 3.45-3.60
2 Ti 0.0000 0.0000 0.5000  6 Cl 2.33-2.53
3 Sn 0.4979 0.4276 0.2568  3 Cl 2.53-2.68
4 Sn 0.5021 0.5724 0.7432  3 Cl 2.53-2.68
5 Cl 0.1243 0.7494 0.7131  1 Ti 2.53, 1 Sn 2.68
6 Cl 0.1685 0.8144 0.3401  1 Ti 2.33
7 Cl 0.3128 0.1961 0.4841  1 Ti 2.50, 1 Sn 2.62
8 Cl 0.4451 0.2401 0.0638  1 Sn 2.53
9 Cl 0.5549 0.7599 0.9362  1 Sn 2.53
10 Cl 0.6872 0.8039 0.5159  1 Ti 2.50, 1 Sn 2.62
11 Cl 0.8315 0.1856 0.6599  1 Ti 2.33
12 Cl 0.8757 0.2506 0.2869  1 Ti 2.53, 1 Sn 2.68

Calculated values
space-group type	P-1
calculated total energy	-3.962	eV/atom
ΔE_f (raw)	-1334	meV/atom

(5)
Compound: Cs2TiSnCl6
Source: Alexandria
Functional: PBE
Structure: optimized geometry

Cell lengths 7.6092, 7.6092, 7.6092 Å; angles 60.00, 60.00, 60.00 degrees
Closest atoms and distances in Å follow each position.
Fractional coordinates of all 10 atoms:
1 Cs 0.2500 0.2500 0.2500  12 Cl 3.81
2 Cs 0.7500 0.7500 0.7500  12 Cl 3.81
3 Ti 0.0000 0.0000 0.0000  6 Cl 2.54
4 Sn 0.5000 0.5000 0.5000  6 Cl 2.84
5 Cl 0.2360 0.2360 0.7640  1 Ti 2.54, 1 Sn 2.84
6 Cl 0.2360 0.7640 0.2360  1 Ti 2.54, 1 Sn 2.84
7 Cl 0.2360 0.7640 0.7640  1 Ti 2.54, 1 Sn 2.84
8 Cl 0.7640 0.2360 0.2360  1 Ti 2.54, 1 Sn 2.84
9 Cl 0.7640 0.2360 0.7640  1 Ti 2.54, 1 Sn 2.84
10 Cl 0.7640 0.7640 0.2360  1 Ti 2.54, 1 Sn 2.84

Calculated values
space-group type	Fm-3m
calculated total energy	-3.988	eV/atom
ΔE_f (raw)	-1520	meV/atom

(6)
Compound: CsTiSnCl6
Source: Alexandria
Functional: PBE
Structure: optimized geometry

Cell lengths 7.0424, 7.0424, 7.5351 Å; angles 90.00, 90.00, 120.00 degrees
Closest atoms and distances in Å follow each position.
Fractional coordinates of all 9 atoms:
1 Cs 0.0000 0.0000 0.0000  6 Cl 3.53
2 Ti 0.3333 0.6667 0.5000  6 Cl 2.45
3 Sn 0.6667 0.3333 0.5000  6 Cl 2.84
4 Cl 0.0421 0.3932 0.3110  1 Ti 2.45
5 Cl 0.0421 0.6489 0.6890  1 Ti 2.45
6 Cl 0.3511 0.3932 0.6890  1 Ti 2.45
7 Cl 0.3511 0.9579 0.3110  1 Ti 2.45
8 Cl 0.6068 0.6489 0.3110  1 Ti 2.45
9 Cl 0.6068 0.9579 0.6890  1 Ti 2.45

Calculated values
space-group type	P312
calculated total energy	-4.151	eV/atom
ΔE_f (raw)	-1503	meV/atom

(7)
Compound: Cs2TlSnCl6
Source: Alexandria
Functional: PBE
Structure: optimized geometry

Cell lengths 14.6420, 14.6420, 14.6420 Å; angles 31.43, 31.43, 31.43 degrees
Closest atoms and distances in Å follow each position.
Fractional coordinates of all 20 atoms:
1 Cs 0.1395 0.1395 0.1395  9 Cl 3.63-4.01
2 Cs 0.2763 0.2763 0.2763  9 Cl 3.66-4.09
3 Cs 0.7237 0.7237 0.7237  9 Cl 3.66-4.09
4 Cs 0.8605 0.8605 0.8605  9 Cl 3.63-4.01
5 Tl 0.4123 0.4123 0.4123  6 Cl 3.03-3.16
6 Tl 0.5877 0.5877 0.5877  6 Cl 3.03-3.16
7 Sn 0.0000 0.0000 0.0000  6 Cl 2.48
8 Sn 0.5000 0.5000 0.5000  6 Cl 2.87
9 Cl 0.1236 0.6270 0.6270  1 Sn 2.87, 1 Tl 3.03
10 Cl 0.1818 0.1818 0.7392  1 Sn 2.48
11 Cl 0.1818 0.7392 0.1818  1 Sn 2.48
12 Cl 0.2608 0.8182 0.8182  1 Sn 2.48
13 Cl 0.3730 0.3730 0.8764  1 Sn 2.87, 1 Tl 3.03
14 Cl 0.3730 0.8764 0.3730  1 Sn 2.87, 1 Tl 3.03
15 Cl 0.6270 0.1236 0.6270  1 Sn 2.87, 1 Tl 3.03
16 Cl 0.6270 0.6270 0.1236  1 Sn 2.87, 1 Tl 3.03
17 Cl 0.7392 0.1818 0.1818  1 Sn 2.48
18 Cl 0.8182 0.2608 0.8182  1 Sn 2.48
19 Cl 0.8182 0.8182 0.2608  1 Sn 2.48
20 Cl 0.8764 0.3730 0.3730  1 Sn 2.87, 1 Tl 3.03

Calculated values
space-group type	R-3m
calculated total energy	-3.325	eV/atom
ΔE_f (raw)	-1410	meV/atom

(8)
Compound: CsTlSnCl6
Source: Alexandria
Functional: PBE
Structure: optimized geometry

Cell lengths 7.7458, 7.7458, 6.9614 Å; angles 90.00, 90.00, 120.00 degrees
Closest atoms and distances in Å follow each position.
Fractional coordinates of all 9 atoms:
1 Cs 0.0000 0.0000 0.0000  6 Cl 3.57
2 Tl 0.6667 0.3333 0.5000  6 Cl 3.22
3 Sn 0.3333 0.6667 0.5000  6 Cl 2.48
4 Cl 0.0703 0.4076 0.2934  1 Sn 2.48
5 Cl 0.0703 0.6626 0.7066  1 Sn 2.48
6 Cl 0.3374 0.4076 0.7066  1 Sn 2.48
7 Cl 0.3374 0.9297 0.2934  1 Sn 2.48
8 Cl 0.5924 0.6626 0.2934  1 Sn 2.48
9 Cl 0.5924 0.9297 0.7066  1 Sn 2.48

Calculated values
space-group type	P312
calculated total energy	-3.269	eV/atom
ΔE_f (raw)	-1235	meV/atom

(9)
Compound: Cs3Tl4SnCl8
Source: Alexandria
Functional: PBE
Structure: optimized geometry

Cell lengths 9.5011, 9.5011, 9.2692 Å; angles 117.22, 117.22, 59.56 degrees
Closest atoms and distances in Å follow each position.
Fractional coordinates of all 16 atoms:
1 Cs 0.0000 0.0000 0.0000  6 Cl 3.41-3.61
2 Cs 0.0000 0.5000 0.0000  6 Cl 3.41-3.62
3 Cs 0.5000 0.0000 0.0000  6 Cl 3.41-3.62
4 Tl 0.0000 0.0000 0.5000  2 Cl 3.00
5 Tl 0.0000 0.5000 0.5000  6 Cl 3.21-3.43
6 Tl 0.5000 0.0000 0.5000  6 Cl 3.21-3.43
7 Tl 0.5000 0.5000 0.5000  6 Cl 3.24-3.41
8 Sn 0.5000 0.5000 0.0000  4 Cl 3.00
9 Cl 0.2144 0.2144 0.6994  3 Tl 3.00-3.24
10 Cl 0.2566 0.2566 0.2708  3 Tl 3.21-3.41, 2 Cs 3.41
11 Cl 0.2722 0.7131 0.7608  1 Sn 3.00, 1 Tl 3.24
12 Cl 0.2869 0.7278 0.2392  1 Sn 3.00, 1 Tl 3.24
13 Cl 0.7131 0.2722 0.7608  1 Sn 3.00, 1 Tl 3.24
14 Cl 0.7278 0.2869 0.2392  1 Sn 3.00, 1 Tl 3.24
15 Cl 0.7434 0.7434 0.7292  3 Tl 3.21-3.41, 2 Cs 3.41
16 Cl 0.7856 0.7856 0.3006  3 Tl 3.00-3.24

Calculated values
space-group type	C2/m
calculated total energy	-3.171	eV/atom
ΔE_f (raw)	-1246	meV/atom

(10)
Compound: Cs2TlSnCl5
Source: Alexandria
Functional: PBE
Structure: optimized geometry

Cell lengths 9.9163, 9.9163, 13.9350 Å; angles 90.00, 90.00, 150.36 degrees
Closest atoms and distances in Å follow each position.
Fractional coordinates of all 18 atoms:
1 Cs 0.1109 0.8891 0.5000  8 Cl 3.42-3.74
2 Cs 0.1442 0.8558 0.1122  7 Cl 3.53-3.81
3 Cs 0.8558 0.1442 0.6122  7 Cl 3.53-3.81
4 Cs 0.8891 0.1109 0.0000  8 Cl 3.42-3.74
5 Tl 0.2188 0.7812 0.8253  6 Cl 3.18-3.38
6 Tl 0.7812 0.2188 0.3253  6 Cl 3.18-3.38
7 Sn 0.4659 0.5341 0.2700  5 Cl 2.65-2.87
8 Sn 0.5341 0.4659 0.7700  5 Cl 2.65-2.87
9 Cl 0.0499 0.9501 0.8560  2 Sn 2.82
10 Cl 0.2874 0.7126 0.4628  2 Tl 3.18, 3 Cs 3.42-3.53
11 Cl 0.3308 0.6692 0.1803  1 Sn 2.87
12 Cl 0.3883 0.6117 0.8115  1 Sn 2.86
13 Cl 0.4906 0.5094 0.5898  1 Sn 2.65
14 Cl 0.5094 0.4906 0.0898  1 Sn 2.65
15 Cl 0.6117 0.3883 0.3115  1 Sn 2.86
16 Cl 0.6692 0.3308 0.6803  1 Sn 2.87
17 Cl 0.7126 0.2874 0.9628  2 Tl 3.18, 3 Cs 3.42-3.53
18 Cl 0.9501 0.0499 0.3560  2 Sn 2.82

Calculated values
space-group type	Cmc2_1
calculated total energy	-3.366	eV/atom
ΔE_f (raw)	-1442	meV/atom